# CaCe2Ge2 PBE relaxed
data_CaCe2Ge2
_chemical_formula_sum 'Ca2 Ce4 Ge4'
_symmetry_space_group_name_H-M 'P 4/m b m'
_symmetry_Int_Tables_number 127
_symmetry_space_group_name_Hall '-P 4 2ab'
_cell_length_a 7.7373
_cell_length_b 7.7373
_cell_length_c 4.3673
_cell_angle_alpha 90.00
_cell_angle_beta 90.00
_cell_angle_gamma 90.00
loop_
_atom_site_label
_atom_site_fract_x
_atom_site_fract_y
_atom_site_fract_z
Ca1 0.0000 0.0000 0.0000
Ce1 0.1762 0.3238 0.5000
Ge1 0.1187 0.6187 0.0000
# spin magnetization = 0.3306 μB per atom
# energy relative to the elements = -304.3 kJ/mol of formula units

# CaCeGe PBE relaxed
data_CaCeGe
_chemical_formula_sum 'Ca4 Ce4 Ge4'
_symmetry_space_group_name_H-M 'C 1 2/m 1'
_symmetry_Int_Tables_number 12
_cell_length_a 8.2001
_cell_length_b 4.9672
_cell_length_c 9.2592
_cell_angle_alpha 90.00
_cell_angle_beta 113.63
_cell_angle_gamma 90.00
loop_
_symmetry_equiv_pos_as_xyz
'x,y,z'
'-x,-y,-z'
'-x,y,-z'
'x,-y,z'
'x+1/2,y+1/2,z'
'-x+1/2,-y+1/2,-z'
'-x+1/2,y+1/2,-z'
'x+1/2,-y+1/2,z'
loop_
_atom_site_label
_atom_site_fract_x
_atom_site_fract_y
_atom_site_fract_z
Ca1 0.1157 0.0000 0.3773
Ce1 0.1907 0.5000 0.9071
Ge1 0.2191 0.5000 0.2469
# spin magnetization = 0.3450 μB per atom
# energy relative to the elements = -129.3 kJ/mol of formula units

# CaCeGe PBE relaxed
data_CaCeGe
_chemical_formula_sum 'Ca6 Ce6 Ge6'
_symmetry_space_group_name_H-M 'R -3 m'
_symmetry_Int_Tables_number 166
_symmetry_space_group_name_Hall '-R 3 2"'
_cell_length_a 4.3500
_cell_length_b 4.3500
_cell_length_c 34.2662
_cell_angle_alpha 90.00
_cell_angle_beta 90.00
_cell_angle_gamma 120.00
loop_
_atom_site_label
_atom_site_fract_x
_atom_site_fract_y
_atom_site_fract_z
Ca1 0.0000 0.0000 0.1153
Ce1 0.0000 0.0000 0.3109
Ge1 0.0000 0.0000 0.4018
# spin magnetization = 0.2294 μB per atom
# energy relative to the elements = -106.1 kJ/mol of formula units

# CaCe5Ge5 PBE relaxed
data_CaCe5Ge5
_chemical_formula_sum 'Ca2 Ce10 Ge10'
_symmetry_space_group_name_H-M 'C 1 2/m 1'
_symmetry_Int_Tables_number 12
_cell_length_a 13.2020
_cell_length_b 5.9625
_cell_length_c 8.4842
_cell_angle_alpha 90.00
_cell_angle_beta 108.35
_cell_angle_gamma 90.00
loop_
_symmetry_equiv_pos_as_xyz
'x,y,z'
'-x,-y,-z'
'-x,y,-z'
'x,-y,z'
'x+1/2,y+1/2,z'
'-x+1/2,-y+1/2,-z'
'-x+1/2,y+1/2,-z'
'x+1/2,-y+1/2,z'
loop_
_atom_site_label
_atom_site_fract_x
_atom_site_fract_y
_atom_site_fract_z
Ca1 0.0000 0.0000 0.0000
Ce1 0.0000 0.0000 0.5000
Ce2 0.1591 0.5000 0.3331
Ce3 0.1680 0.5000 0.8370
Ge1 0.0000 0.5000 0.0000
Ge2 0.1713 0.0000 0.3475
Ge3 0.1747 0.0000 0.8238
# spin magnetization = 0.0822 μB per atom
# energy relative to the elements = -494.9 kJ/mol of formula units

# CaCeGeH PBE relaxed
data_CaCeGeH
_chemical_formula_sum 'Ca2 Ce2 Ge2 H2'
_symmetry_space_group_name_H-M 'P 4/n m m'
_symmetry_Int_Tables_number 129
_cell_length_a 4.2418
_cell_length_b 4.2418
_cell_length_c 9.1952
_cell_angle_alpha 90.00
_cell_angle_beta 90.00
_cell_angle_gamma 90.00
loop_
_symmetry_equiv_pos_as_xyz
'x,y,z'
'-x,-y,-z'
'-y+1/2,x,z'
'y+1/2,-x,-z'
'-x+1/2,-y+1/2,z'
'x+1/2,y+1/2,-z'
'y,-x+1/2,z'
'-y,x+1/2,-z'
'x+1/2,-y,-z'
'-x+1/2,y,z'
'-y,-x,-z'
'y,x,z'
'-x,y+1/2,-z'
'x,-y+1/2,z'
'y+1/2,x+1/2,-z'
'-y+1/2,-x+1/2,z'
loop_
_atom_site_label
_atom_site_fract_x
_atom_site_fract_y
_atom_site_fract_z
Ca1 0.2500 0.2500 0.1176
Ce1 0.2500 0.7500 0.5000
Ge1 0.2500 0.2500 0.7278
H1 0.2500 0.7500 0.0000
# E = -4.398 eV/atom
# spin magnetization = 0.0353 μB per atom

# CaCeInGe PBE relaxed
data_CaCeInGe
_chemical_formula_sum 'Ca4 Ce4 In4 Ge4'
_symmetry_space_group_name_H-M 'F -4 3 m'
_symmetry_Int_Tables_number 216
_symmetry_space_group_name_Hall 'F -4 2 3'
_cell_length_a 7.4954
_cell_length_b 7.4954
_cell_length_c 7.4954
_cell_angle_alpha 90.00
_cell_angle_beta 90.00
_cell_angle_gamma 90.00
loop_
_atom_site_label
_atom_site_fract_x
_atom_site_fract_y
_atom_site_fract_z
Ca1 0.0000 0.0000 0.0000
Ce1 0.0000 0.0000 0.5000
In1 0.2500 0.2500 0.2500
Ge1 0.2500 0.2500 0.7500
# spin magnetization = 0.2003 μB per atom
# energy relative to the elements = -166.8 kJ/mol of formula units

# Li2CaCe2Ge2 PBE relaxed
data_Li2CaCe2Ge2
_chemical_formula_sum 'Li6 Ca3 Ce6 Ge6'
_symmetry_space_group_name_H-M 'R -3 m'
_symmetry_Int_Tables_number 166
_symmetry_space_group_name_Hall '-R 3 2"'
_cell_length_a 4.4667
_cell_length_b 4.4667
_cell_length_c 26.7264
_cell_angle_alpha 90.00
_cell_angle_beta 90.00
_cell_angle_gamma 120.00
loop_
_atom_site_label
_atom_site_fract_x
_atom_site_fract_y
_atom_site_fract_z
Li1 0.0000 0.0000 0.0936
Ca1 0.0000 0.0000 0.5000
Ce1 0.0000 0.0000 0.3591
Ge1 0.0000 0.0000 0.2408
# spin magnetization = 0.2851 μB per atom
# energy relative to the elements = -302.8 kJ/mol of formula units

# Li2Ca2CeGe2 PBE relaxed
data_Li2Ca2CeGe2
_chemical_formula_sum 'Li6 Ca6 Ce3 Ge6'
_symmetry_space_group_name_H-M 'R -3 m'
_symmetry_Int_Tables_number 166
_symmetry_space_group_name_Hall '-R 3 2"'
_cell_length_a 4.4582
_cell_length_b 4.4582
_cell_length_c 31.4899
_cell_angle_alpha 90.00
_cell_angle_beta 90.00
_cell_angle_gamma 120.00
loop_
_atom_site_label
_atom_site_fract_x
_atom_site_fract_y
_atom_site_fract_z
Li1 0.0000 0.0000 0.1086
Ca1 0.0000 0.0000 0.3825
Ce1 0.0000 0.0000 0.5000
Ge1 0.0000 0.0000 0.2212
# spin magnetization = 0.0393 μB per atom
# energy relative to the elements = -315.0 kJ/mol of formula units

Please write out number 5 again, unchanged.
# CaCeGeH PBE relaxed
data_CaCeGeH
_chemical_formula_sum 'Ca2 Ce2 Ge2 H2'
_symmetry_space_group_name_H-M 'P 4/n m m'
_symmetry_Int_Tables_number 129
_cell_length_a 4.2418
_cell_length_b 4.2418
_cell_length_c 9.1952
_cell_angle_alpha 90.00
_cell_angle_beta 90.00
_cell_angle_gamma 90.00
loop_
_symmetry_equiv_pos_as_xyz
'x,y,z'
'-x,-y,-z'
'-y+1/2,x,z'
'y+1/2,-x,-z'
'-x+1/2,-y+1/2,z'
'x+1/2,y+1/2,-z'
'y,-x+1/2,z'
'-y,x+1/2,-z'
'x+1/2,-y,-z'
'-x+1/2,y,z'
'-y,-x,-z'
'y,x,z'
'-x,y+1/2,-z'
'x,-y+1/2,z'
'y+1/2,x+1/2,-z'
'-y+1/2,-x+1/2,z'
loop_
_atom_site_label
_atom_site_fract_x
_atom_site_fract_y
_atom_site_fract_z
Ca1 0.2500 0.2500 0.1176
Ce1 0.2500 0.7500 0.5000
Ge1 0.2500 0.2500 0.7278
H1 0.2500 0.7500 0.0000
# E = -4.398 eV/atom
# spin magnetization = 0.0353 μB per atom

Copy entry 8 word for word.
# Li2Ca2CeGe2 PBE relaxed
data_Li2Ca2CeGe2
_chemical_formula_sum 'Li6 Ca6 Ce3 Ge6'
_symmetry_space_group_name_H-M 'R -3 m'
_symmetry_Int_Tables_number 166
_symmetry_space_group_name_Hall '-R 3 2"'
_cell_length_a 4.4582
_cell_length_b 4.4582
_cell_length_c 31.4899
_cell_angle_alpha 90.00
_cell_angle_beta 90.00
_cell_angle_gamma 120.00
loop_
_atom_site_label
_atom_site_fract_x
_atom_site_fract_y
_atom_site_fract_z
Li1 0.0000 0.0000 0.1086
Ca1 0.0000 0.0000 0.3825
Ce1 0.0000 0.0000 0.5000
Ge1 0.0000 0.0000 0.2212
# spin magnetization = 0.0393 μB per atom
# energy relative to the elements = -315.0 kJ/mol of formula units

Repeat the fourth record exactly.
# CaCe5Ge5 PBE relaxed
data_CaCe5Ge5
_chemical_formula_sum 'Ca2 Ce10 Ge10'
_symmetry_space_group_name_H-M 'C 1 2/m 1'
_symmetry_Int_Tables_number 12
_cell_length_a 13.2020
_cell_length_b 5.9625
_cell_length_c 8.4842
_cell_angle_alpha 90.00
_cell_angle_beta 108.35
_cell_angle_gamma 90.00
loop_
_symmetry_equiv_pos_as_xyz
'x,y,z'
'-x,-y,-z'
'-x,y,-z'
'x,-y,z'
'x+1/2,y+1/2,z'
'-x+1/2,-y+1/2,-z'
'-x+1/2,y+1/2,-z'
'x+1/2,-y+1/2,z'
loop_
_atom_site_label
_atom_site_fract_x
_atom_site_fract_y
_atom_site_fract_z
Ca1 0.0000 0.0000 0.0000
Ce1 0.0000 0.0000 0.5000
Ce2 0.1591 0.5000 0.3331
Ce3 0.1680 0.5000 0.8370
Ge1 0.0000 0.5000 0.0000
Ge2 0.1713 0.0000 0.3475
Ge3 0.1747 0.0000 0.8238
# spin magnetization = 0.0822 μB per atom
# energy relative to the elements = -494.9 kJ/mol of formula units

> What is the spin magnetization in the eighth record?

0.0393 μB per atom